Entry 1:
A relaxed structure of IrWCl2, computed with GGA-PBE.

The space group is Fm-3m (No. 225) and the conventional cell measures 6.246, 6.246 and 6.246 Å, with angles of 90.00, 90.00 and 90.00 degrees. The asymmetric unit holds Ir at (0.000, 0.000, 0.000), W at (0.000, 0.000, 0.500) and Cl at (0.250, 0.250, 0.250).

As for the formation energy without anion corrections: 1.326 eV/atom. The value obtained for the energy above the most stable polymorph in this dataset is 1.511 eV/atom. The calculation puts the size of the total moment at 0.00 μB/cell. The electronic total energy comes out at -5.0510 eV per atom.

=====

Entry 2:
A relaxed structure of Nd8Co3HBr4, computed with GGA-PBE.

The space group is R-3m (No. 166, hexagonal axes) and the conventional cell measures 7.9535, 7.9535 and 23.2737 Å, with angles of 90.00, 90.00 and 120.00 degrees. The asymmetric unit holds Nd at (0.0000, 0.0000, 0.2306), Nd at (0.0029, 0.5014, 0.7695), Co at (0.0000, 0.5000, 0.5000), H at (0.0000, 0.0000, 0.5000), Br at (0.0000, 0.0000, 0.0000) and Br at (0.0000, 0.5000, 0.0000).

The calculation puts the size of the total moment at 0.00 μB/cell. The electronic total energy comes out at -5.0762 eV per atom.

=====

Entry 3:
A relaxed structure of DyTlIO6, computed with GGA-PBE.

The space group is P-31c (No. 163) and the conventional cell measures 5.7095, 5.7095 and 9.9284 Å, with angles of 90.00, 90.00 and 120.00 degrees. The asymmetric unit holds Dy at (0.3333, 0.6667, 0.2500), Tl at (0.0000, 0.0000, 0.0000), I at (0.3333, 0.6667, 0.7500) and O at (0.0473, 0.3966, 0.6419).

As for the formation energy without anion corrections: -1.240 eV/atom. The calculation puts the size of the total moment at 0.00 μB/cell. The electronic total energy comes out at -5.4919 eV per atom.

=====

Entry 4:
A relaxed structure of CeAg4Pb, computed with GGA-PBE.

The space group is F-43m (No. 216) and the conventional cell measures 8.112, 8.112 and 8.112 Å, with angles of 90.00, 90.00 and 90.00 degrees. The asymmetric unit holds Ce at (0.000, 0.000, 0.000), Ag at (0.125, 0.125, 0.375) and Pb at (0.250, 0.250, 0.750).

The value obtained for the formation energy is -111 meV/atom. The calculation puts the size of the total moment at 4.75 μB/cell. The electronic total energy comes out at -3.6191 eV per atom.

=====

Entry 5:
A relaxed structure of Na2PuSi3Au12, computed with GGA-PBE.

The space group is R-3m (No. 166, hexagonal axes) and the conventional cell measures 9.0771, 9.0771 and 16.2688 Å, with angles of 90.00, 90.00 and 120.00 degrees. The asymmetric unit holds Na at (0.0000, 0.0000, 0.0819), Pu at (0.0000, 0.0000, 0.5000), Si at (0.0000, 0.5000, 0.0000), Au at (0.0357, 0.5179, 0.3212) and Au at (0.0480, 0.5240, 0.8525).

As for the formation energy without anion corrections: -0.024 eV/atom. The calculation puts the size of the total moment at 16.11 μB/cell. The electronic total energy comes out at -4.0553 eV per atom.

=====

Entry 6:
A relaxed structure of ErHfSi, computed with GGA-PBE.

The space group is R3 (No. 146, hexagonal axes) and the conventional cell measures 6.4434, 6.4434 and 17.6811 Å, with angles of 90.00, 90.00 and 120.00 degrees. The asymmetric unit holds Er at (0.0553, 0.7206, 0.0000), Hf at (0.0485, 0.3393, 0.5013), Si at (0.0000, 0.0000, 0.1124), Si at (0.0000, 0.0000, 0.5958) and Si at (0.0000, 0.0000, 0.7374).

As for the formation energy without anion corrections: -0.205 eV/atom. The calculation puts the size of the total moment at 0.00 μB/cell. The electronic total energy comes out at -6.8514 eV per atom.

=====

Entry 7:
A relaxed structure of Cu3SnH, computed with GGA-PBE.

The space group is Pm-3m (No. 221) and the conventional cell measures 4.949, 4.949 and 4.949 Å, with angles of 90.00, 90.00 and 90.00 degrees. The asymmetric unit holds Cu at (0.000, 0.000, 0.500), Sn at (0.000, 0.000, 0.000) and H at (0.500, 0.500, 0.500).

The value obtained for the energy above the most stable polymorph in this dataset is 1.002 eV/atom. The calculation puts the size of the total moment at 1.03 μB/cell. The electronic total energy comes out at -2.7584 eV per atom.

=====

Entry 8:
A relaxed structure of NbNi3C, computed with GGA-PBE.

The space group is Pm-3m (No. 221) and the conventional cell measures 4.496, 4.496 and 4.496 Å, with angles of 90.00, 90.00 and 90.00 degrees. The asymmetric unit holds Nb at (0.000, 0.000, 0.000), Ni at (0.000, 0.000, 0.500) and C at (0.500, 0.500, 0.500).

The value obtained for the energy above the most stable polymorph in this dataset is 2.385 eV/atom. The value obtained for the formation energy is 2586 meV/atom. The calculation puts the size of the total moment at 0.00 μB/cell. The electronic total energy comes out at -4.7420 eV per atom.

=====

Entry 9:
A relaxed structure of BiBIN2, computed with GGA-PBE.

The space group is P4/mmm (No. 123) and the conventional cell measures 4.270, 4.270 and 7.261 Å, with angles of 90.00, 90.00 and 90.00 degrees. The asymmetric unit holds Bi at (0.000, 0.000, 0.000), B at (0.500, 0.500, 0.500), I at (0.000, 0.000, 0.500) and N at (0.000, 0.500, 0.000).

As for the formation energy without anion corrections: 2.219 eV/atom. The value obtained for the energy above the most stable polymorph in this dataset is 0.227 eV/atom. The calculation puts the size of the total moment at 1.33 μB/cell. The electronic total energy comes out at -3.5331 eV per atom.

=====

Entry 10:
A relaxed structure of DyGe3Pd3, computed with GGA-PBE.

The space group is Pm-3n (No. 223) and the conventional cell measures 6.779, 6.779 and 6.779 Å, with angles of 90.00, 90.00 and 90.00 degrees. The asymmetric unit holds Dy at (0.000, 0.000, 0.000), Ge at (0.000, 0.250, 0.500) and Pd at (0.000, 0.500, 0.250).

The value obtained for the formation energy is -189 meV/atom. The calculation puts the size of the total moment at 0.00 μB/cell. The electronic total energy comes out at -5.0504 eV per atom.

=====

Entry 11:
A relaxed structure of Tl2RuAu, computed with GGA-PBE.

The space group is Pmm2 (No. 25) and the conventional cell measures 3.735, 3.752 and 5.920 Å, with angles of 90.00, 90.00 and 90.00 degrees. The asymmetric unit holds Tl at (0.000, 0.000, 0.000), Tl at (0.500, 0.500, 0.319), Ru at (0.000, 0.000, 0.509) and Au at (0.500, 0.500, 0.787).

The value obtained for the energy above the most stable polymorph in this dataset is 0.146 eV/atom. The value obtained for the formation energy is 483 meV/atom. The calculation puts the size of the total moment at 0.00 μB/cell. The electronic total energy comes out at -3.8388 eV per atom.

=====

Q: Among the records above, which one has the lowest electronic total energy?
A: ErHfSi